Record 1
This record from the Alexandria database describes crystalline LiAcMnO3 at its relaxed geometry. The functional is GGA+U.

a b c (Å): 6.8614 3.4865 7.0990
angles (deg): 90.00 106.25 90.00
Closest atoms and distances in Å follow each position.
Element x y z (fractional)
1 Li 0.0986 0.2500 0.1047  4 O 1.88-2.00
2 Li 0.9014 0.7500 0.8953  4 O 1.88-2.00
3 Ac 0.2029 0.2500 0.7371  7 O 2.51-2.71
4 Ac 0.7971 0.7500 0.2629  7 O 2.51-2.71
5 Mn 0.3379 0.7500 0.3404  4 O 2.17-2.31
6 Mn 0.6621 0.2500 0.6596  4 O 2.17-2.31
7 O 0.0964 0.2500 0.3690  1 Li 1.88
8 O 0.1943 0.7500 0.0263  3 Li 1.96-2.00, 1 Mn 2.17
9 O 0.4400 0.7500 0.6589  3 Mn 2.17-2.31
10 O 0.5600 0.2500 0.3411  3 Mn 2.17-2.31
11 O 0.8057 0.2500 0.9737  3 Li 1.96-2.00, 1 Mn 2.17
12 O 0.9036 0.7500 0.6310  1 Li 1.88

Summary:
The final energy is -7.015 eV/atom. As for the space-group type: P2_1/m.



Record 2
This record from the Alexandria database describes crystalline LiAc2MnO6 at its relaxed geometry. The functional is GGA+U.

a b c (Å): 5.5848 5.5848 5.6757
angles (deg): 120.39 120.39 59.49
Closest atoms and distances in Å follow each position.
Element x y z (fractional)
1 Li 0.0000 0.0000 0.0000  6 O 2.06-2.07
2 Ac 0.2506 0.2506 0.7500  7 O 2.56-2.79
3 Ac 0.7494 0.7494 0.2500  7 O 2.56-2.79
4 Mn 0.5000 0.5000 0.5000  6 O 1.92
5 O 0.2320 0.7159 0.7130  1 Mn 1.92, 1 Li 2.07
6 O 0.2594 0.2594 0.2097  1 Mn 1.92, 1 Li 2.06
7 O 0.2841 0.7680 0.2870  1 Mn 1.92, 1 Li 2.07
8 O 0.7159 0.2320 0.7130  1 Mn 1.92, 1 Li 2.07
9 O 0.7406 0.7406 0.7903  1 Mn 1.92, 1 Li 2.06
10 O 0.7680 0.2841 0.2870  1 Mn 1.92, 1 Li 2.07

Summary:
The final energy is -7.188 eV/atom. As for the space-group type: C2/m.



Record 3
This record from the Alexandria database describes crystalline LiAcMnO4 at its relaxed geometry. The functional is GGA+U.

a b c (Å): 5.1915 5.1915 5.1915
angles (deg): 114.36 114.36 100.07
Closest atoms and distances in Å follow each position.
Element x y z (fractional)
1 Li 0.0000 0.0000 0.0000  4 O 2.00
2 Ac 0.5000 0.5000 0.0000  8 O 2.55-2.85
3 Mn 0.2500 0.7500 0.5000  4 O 1.82
4 O 0.0902 0.6703 0.0758  1 Mn 1.82, 1 Li 2.00
5 O 0.3297 0.4055 0.4200  1 Mn 1.82, 1 Li 2.00
6 O 0.5945 0.0144 0.9242  1 Mn 1.82, 1 Li 2.00
7 O 0.9856 0.9098 0.5800  1 Mn 1.82, 1 Li 2.00

Summary:
The final energy is -6.800 eV/atom. As for the space-group type: I-4.



Record 4
This record from the Alexandria database describes crystalline Li2AcMnO4 at its relaxed geometry. The functional is GGA+U.

a b c (Å): 5.1825 5.1825 5.1825
angles (deg): 115.83 115.83 97.39
Closest atoms and distances in Å follow each position.
Element x y z (fractional)
1 Li 0.2500 0.7500 0.5000  4 O 2.09
2 Li 0.7500 0.2500 0.5000  4 O 2.09
3 Ac 0.0000 0.0000 0.0000  4 O 2.46
4 Mn 0.5000 0.5000 0.0000  4 O 1.93
5 O 0.1413 0.1413 0.5765  1 Mn 1.93, 2 Li 2.09
6 O 0.4352 0.8587 0.0000  1 Mn 1.93, 2 Li 2.09
7 O 0.5648 0.5648 0.4235  1 Mn 1.93, 2 Li 2.09
8 O 0.8587 0.4352 0.0000  1 Mn 1.93, 2 Li 2.09

Summary:
The final energy is -6.574 eV/atom. As for the space-group type: I-42m.



Record 5
This record from the Alexandria database describes crystalline LiAc2MnO5 at its relaxed geometry. The functional is GGA+U.

a b c (Å): 7.4125 7.4125 9.9601
angles (deg): 90.00 90.00 152.53
Closest atoms and distances in Å follow each position.
Element x y z (fractional)
1 Li 0.0629 0.9371 0.5000  3 O 1.90-2.04
2 Li 0.9371 0.0629 0.0000  3 O 1.90-2.04
3 Ac 0.3742 0.6258 0.3351  8 O 2.56-2.75
4 Ac 0.3809 0.6191 0.7367  7 O 2.47-2.69
5 Ac 0.6191 0.3809 0.2367  7 O 2.47-2.69
6 Ac 0.6258 0.3742 0.8351  8 O 2.56-2.75
7 Mn 0.2907 0.7093 0.0442  2 O 1.88-1.98
8 Mn 0.7093 0.2907 0.5442  2 O 1.88-1.98
9 O 0.0025 0.9975 0.3150  1 Li 2.04
10 O 0.1536 0.8464 0.0393  1 Mn 1.98
11 O 0.1986 0.8014 0.4020  1 Li 2.19, 2 Mn 2.26
12 O 0.2125 0.7875 0.6888  2 Mn 2.27, 1 Ac 2.47
13 O 0.4206 0.5794 0.0674  1 Mn 1.88, 2 Li 1.90
14 O 0.5794 0.4206 0.5674  1 Mn 1.88, 2 Li 1.90
15 O 0.7875 0.2125 0.1888  2 Mn 2.27, 1 Ac 2.47
16 O 0.8014 0.1986 0.9020  1 Li 2.19, 2 Mn 2.26
17 O 0.8464 0.1536 0.5393  1 Mn 1.98
18 O 0.9975 0.0025 0.8150  1 Li 2.04

Summary:
The final energy is -7.252 eV/atom. As for the space-group type: Cmc2_1.



Record 6
This record from the Alexandria database describes crystalline Li3Ac3MnO8 at its relaxed geometry. The functional is GGA+U.

a b c (Å): 6.4180 6.4180 6.4180
angles (deg): 68.83 68.83 68.83
Closest atoms and distances in Å follow each position.
Element x y z (fractional)
1 Li 0.0000 0.5000 0.5000  6 O 2.34-2.44
2 Li 0.5000 0.0000 0.5000  6 O 2.34-2.44
3 Li 0.5000 0.5000 0.0000  6 O 2.34-2.44
4 Ac 0.0000 0.0000 0.5000  6 O 2.40-2.57
5 Ac 0.0000 0.5000 0.0000  6 O 2.40-2.57
6 Ac 0.5000 0.0000 0.0000  6 O 2.40-2.57
7 Mn 0.5000 0.5000 0.5000  6 O 2.04
8 O 0.2470 0.2470 0.2470  3 Ac 2.40, 3 Li 2.44
9 O 0.2877 0.2877 0.6957  1 Mn 2.04
10 O 0.2877 0.6957 0.2877  1 Mn 2.04
11 O 0.3043 0.7123 0.7123  1 Mn 2.04
12 O 0.6957 0.2877 0.2877  1 Mn 2.04
13 O 0.7123 0.3043 0.7123  1 Mn 2.04
14 O 0.7123 0.7123 0.3043  1 Mn 2.04
15 O 0.7530 0.7530 0.7530  3 Ac 2.40, 3 Li 2.44

Summary:
The final energy is -6.630 eV/atom. As for the space-group type: R-3m.